[1]
Below is an optimized crystal structure of NpHO, with properties calculated at the GGA-PBE level.

abc: 3.3777 3.7673 3.7673
angles: 120.00 90.00 90.00
Closest atoms and distances in Å follow each position.
Atoms (fractional coordinates):
O  0.1666  0.3333  0.6667  3 Np 2.18
H  0.6667  0.6667  0.3333  6 Np 2.75, 6 O 2.75
Np  0.1668  0.0000  0.0000  3 O 2.18

Its space group is P-6m2, No. 187.


[2]
Below is an optimized crystal structure of CaPm2Mn, with properties calculated at the GGA-PBE level.

abc: 3.6225 3.6225 9.4218
angles: 90.00 90.00 90.00
Closest atoms and distances in Å follow each position.
Atoms (fractional coordinates):
Pm  0.0000  0.0000  0.8140  4 Mn 3.10
Pm  0.0000  0.0000  0.1860  4 Mn 3.10
Mn  0.5000  0.5000  0.0000  8 Pm 3.10
Ca  0.5000  0.5000  0.5000  4 Ca 3.62, 8 Pm 3.91

Its space group is P4/mmm, No. 123.


[3]
Below is an optimized crystal structure of ZrHgW2, with properties calculated at the GGA-PBE level.

abc: 5.0882 5.0882 5.3873
angles: 84.38 84.38 32.38
Closest atoms and distances in Å follow each position.
Atoms (fractional coordinates):
W  0.7478  0.7478  0.7679  5 W 2.79-2.97, 3 Zr 2.92-3.11, 4 Hg 2.98-3.11
W  0.9957  0.9957  0.9825  5 W 2.79-2.97, 4 Zr 2.97-3.12, 3 Hg 3.01-3.03
Zr  0.5040  0.5040  0.4966  2 Zr 2.84, 3 Hg 2.90-3.00, 7 W 2.92-3.12
Hg  0.2525  0.2525  0.2530  2 Hg 2.84, 3 Zr 2.90-3.00, 7 W 2.98-3.11

Its space group is Cm, No. 8.


[4]
Below is an optimized crystal structure of TaMn2Re, with properties calculated at the GGA-PBE level.

abc: 4.9077 4.9077 2.6953
angles: 80.36 80.36 114.16
Closest atoms and distances in Å follow each position.
Atoms (fractional coordinates):
Mn  0.5000  0.5000  0.0000  2 Re 2.59, 2 Ta 2.59, 4 Mn 2.67-2.70
Mn  0.0000  0.0000  0.0000  2 Ta 2.59, 2 Re 2.59, 4 Mn 2.67-2.70
Ta  0.0000  0.5000  0.5000  4 Mn 2.59, 2 Re 2.67, 2 Ta 2.70
Re  0.5000  0.0000  0.5000  4 Mn 2.59, 2 Ta 2.67, 2 Re 2.70

Its space group is C2/m, No. 12.


[5]
Below is an optimized crystal structure of Zr2Be2InIr5, with properties calculated at the GGA-PBE level.

abc: 3.3285 9.5104 9.5104
angles: 90.00 90.00 90.00
Closest atoms and distances in Å follow each position.
Atoms (fractional coordinates):
Be  0.0000  0.1201  0.6201  6 Ir 2.31-2.32
Be  0.0000  0.6201  0.8799  6 Ir 2.31-2.32
Be  0.0000  0.8799  0.3799  6 Ir 2.31-2.32
Be  0.0000  0.3799  0.1201  6 Ir 2.31-2.32
Ir  0.5000  0.0711  0.7812  2 Be 2.31
Ir  0.5000  0.2188  0.0711  2 Be 2.31
Ir  0.5000  0.9289  0.2188  2 Be 2.31
Ir  0.5000  0.0000  0.5000  4 Be 2.32
Ir  0.5000  0.7812  0.9289  2 Be 2.31
Ir  0.5000  0.5711  0.7188  2 Be 2.31
Ir  0.5000  0.2812  0.5711  2 Be 2.31
Ir  0.5000  0.4289  0.2812  2 Be 2.31
Ir  0.5000  0.7188  0.4289  2 Be 2.31
Ir  0.5000  0.5000  0.0000  4 Be 2.32
In  0.0000  0.0000  0.0000  8 Ir 2.75
In  0.0000  0.5000  0.5000  8 Ir 2.75
Zr  0.0000  0.8230  0.6770  3 Be 2.73-2.88, 10 Ir 2.90-3.05
Zr  0.0000  0.6770  0.1770  3 Be 2.73-2.88, 10 Ir 2.90-3.05
Zr  0.0000  0.1770  0.3230  3 Be 2.73-2.88, 10 Ir 2.90-3.05
Zr  0.0000  0.3230  0.8230  3 Be 2.73-2.88, 10 Ir 2.90-3.05

Its space group is P4/mbm, No. 127.


[6]
Below is an optimized crystal structure of Pm3Dy4Ru4, with properties calculated at the GGA-PBE level.

abc: 3.6362 9.0209 9.4394
angles: 118.54 101.11 90.00
Closest atoms and distances in Å follow each position.
Atoms (fractional coordinates):
Ru  0.5000  0.2291  0.0000  2 Dy 2.78, 2 Pm 3.05
Ru  0.5000  0.7709  0.0000  2 Dy 2.78, 2 Pm 3.05
Ru  0.7464  0.2464  0.4928  6 Dy 2.87-3.09, 2 Pm 2.99
Ru  0.2536  0.7536  0.5072  6 Dy 2.87-3.09, 2 Pm 2.99
Pm  0.0000  0.5000  0.0000  4 Ru 3.05
Pm  0.9005  0.9005  0.8011  6 Ru 2.99-3.19, 1 Pm 3.22
Pm  0.0995  0.0995  0.1989  6 Ru 2.99-3.19, 1 Pm 3.22
Dy  0.6659  0.8552  0.3317  4 Ru 2.78-3.09
Dy  0.3341  0.5234  0.6683  4 Ru 2.78-3.09
Dy  0.3341  0.1448  0.6683  4 Ru 2.78-3.09
Dy  0.6659  0.4766  0.3317  4 Ru 2.78-3.09

Its space group is Immm, No. 71.


Number 1: spin magnetization 4.00 μB/f.u., VASP energy -25.35 eV per cell. Number 2: spin magnetization 2.62 μB/f.u., VASP energy -20.03 eV per cell. Number 3: spin magnetization 0.00 μB/f.u., VASP energy -32.74 eV per cell. Number 4: spin magnetization 2.81 μB/f.u., VASP energy -42.50 eV per cell. Number 5: spin magnetization 0.00 μB/f.u., VASP energy -157.57 eV per cell. Number 6: spin magnetization 0.00 μB/f.u., VASP energy -72.45 eV per cell.